[1]
Ho2Fe9Si3 | GGA-PBE | optimized geometry

POSCAR file:
```
Ho2Fe9Si3
1.0
3.810 0.000 0.000
0.000 4.958 5.023
0.000 -4.958 5.023
Ho Fe Si
2 9 3
Direct
0.000 0.000 0.000
0.500 0.491 0.491
0.000 0.154 0.408
0.000 0.408 0.154
0.000 0.582 0.847
0.000 0.847 0.582
0.500 0.088 0.638
0.500 0.213 0.213
0.500 0.346 0.900
0.500 0.638 0.088
0.500 0.900 0.346
0.000 0.278 0.713
0.000 0.713 0.278
0.500 0.777 0.777
```

Computed properties:
For the uncorrected formation energy, the calculation gives -0.32 eV per atom. Its crystal system is orthorhombic.

[2]
HoFe4Si2 | GGA-PBE | optimized geometry

POSCAR file:
```
HoFe4Si2
1.0
7.060 0.000 0.000
0.000 7.060 0.000
0.000 0.000 3.737
Ho Fe Si
2 8 4
Direct
0.000 0.000 0.000
0.500 0.500 0.500
0.085 0.353 0.500
0.147 0.585 0.000
0.353 0.085 0.500
0.415 0.853 0.000
0.585 0.147 0.000
0.647 0.915 0.500
0.853 0.415 0.000
0.915 0.647 0.500
0.219 0.781 0.500
0.281 0.281 0.000
0.719 0.719 0.000
0.781 0.219 0.500
```

Computed properties:
For the uncorrected formation energy, the calculation gives -0.46 eV per atom. Its crystal system is tetragonal.

[3]
Ho3Fe2Si4 | GGA-PBE | optimized geometry

POSCAR file:
```
Ho3Fe2Si4
1.0
5.203 -2.034 0.000
5.203 2.034 0.000
-2.330 0.000 7.467
Ho Fe Si
3 2 4
Direct
0.000 0.000 0.000
0.383 0.383 0.307
0.617 0.617 0.693
0.313 0.313 0.639
0.687 0.687 0.361
0.108 0.108 0.407
0.281 0.281 0.918
0.719 0.719 0.082
0.892 0.892 0.593
```

Computed properties:
For the uncorrected formation energy, the calculation gives -0.70 eV per atom. Its crystal system is monoclinic.

[4]
Ho3Fe7Si2 | GGA-PBE | optimized geometry

POSCAR file:
```
Ho3Fe7Si2
1.0
2.567 1.482 7.837
-2.567 1.482 7.837
0.000 -2.964 7.837
Ho Fe Si
3 7 2
Direct
0.000 0.000 0.000
0.141 0.141 0.141
0.859 0.859 0.859
0.082 0.578 0.578
0.422 0.422 0.918
0.422 0.918 0.422
0.500 0.500 0.500
0.578 0.082 0.578
0.578 0.578 0.082
0.918 0.422 0.422
0.332 0.332 0.332
0.668 0.668 0.668
```

Computed properties:
For the uncorrected formation energy, the calculation gives -0.34 eV per atom. Its crystal system is trigonal.

[5]
Ho2FeSi3 | GGA-PBE | optimized geometry

POSCAR file:
```
Ho2FeSi3
1.0
0.000 4.029 6.956
3.948 0.000 6.956
3.948 4.029 0.000
Ho Fe Si
4 2 6
Direct
0.248 0.752 0.752
0.250 0.250 0.250
0.750 0.750 0.750
0.752 0.248 0.248
0.165 0.165 0.835
0.835 0.835 0.165
0.158 0.671 0.329
0.328 0.328 0.672
0.329 0.842 0.158
0.671 0.158 0.842
0.672 0.672 0.328
0.842 0.329 0.671
```

Computed properties:
For the uncorrected formation energy, the calculation gives -0.64 eV per atom. Its crystal system is orthorhombic.

[6]
HoFe10Si2 | GGA-PBE | optimized geometry

POSCAR file:
```
HoFe10Si2
1.0
4.153 -4.775 0.000
4.153 4.775 0.000
0.000 0.000 8.183
Ho Fe Si
2 20 4
Direct
0.125 0.875 0.750
0.875 0.125 0.250
0.131 0.386 0.750
0.158 0.842 0.101
0.158 0.842 0.399
0.228 0.228 0.000
0.228 0.228 0.500
0.239 0.481 0.250
0.386 0.131 0.250
0.393 0.607 0.575
0.393 0.607 0.925
0.481 0.239 0.750
0.519 0.761 0.250
0.607 0.393 0.075
0.607 0.393 0.425
0.614 0.869 0.750
0.761 0.519 0.750
0.772 0.772 0.000
0.772 0.772 0.500
0.842 0.158 0.601
0.842 0.158 0.899
0.869 0.614 0.250
0.000 0.500 0.000
0.000 0.500 0.500
0.500 0.000 0.000
0.500 0.000 0.500
```

Computed properties:
The value obtained for the relative energy among the computed polymorphs is 8 meV per atom. For the uncorrected formation energy, the calculation gives -0.24 eV per atom. Its crystal system is orthorhombic.

[7]
HoFe10Si2 | GGA-PBE | optimized geometry

POSCAR file:
```
HoFe10Si2
1.0
-2.372 4.137 4.166
2.372 -4.137 4.166
2.372 4.137 -4.166
Ho Fe Si
1 10 2
Direct
0.000 0.000 0.000
0.000 0.000 0.500
0.000 0.500 0.000
0.208 0.500 0.708
0.354 0.000 0.354
0.361 0.361 0.000
0.500 0.000 0.000
0.500 0.500 0.500
0.639 0.639 0.000
0.646 0.000 0.646
0.792 0.500 0.292
0.234 0.734 0.500
0.766 0.266 0.500
```

Computed properties:
The value obtained for the relative energy among the computed polymorphs is 0 meV per atom. For the uncorrected formation energy, the calculation gives -0.25 eV per atom. Its crystal system is orthorhombic.

[8]
HoFe5Si3 | GGA-PBE | optimized geometry

POSCAR file:
```
HoFe5Si3
1.0
1.938 -6.081 0.000
1.938 6.081 0.000
0.000 0.000 10.446
Ho Fe Si
2 10 6
Direct
0.199 0.801 0.750
0.801 0.199 0.250
0.000 0.000 0.000
0.000 0.000 0.500
0.187 0.813 0.056
0.187 0.813 0.444
0.462 0.538 0.641
0.462 0.538 0.859
0.538 0.462 0.141
0.538 0.462 0.359
0.813 0.187 0.556
0.813 0.187 0.944
0.096 0.904 0.250
0.368 0.632 0.049
0.368 0.632 0.451
0.632 0.368 0.549
0.632 0.368 0.951
0.904 0.096 0.750
```

Computed properties:
For the uncorrected formation energy, the calculation gives -0.42 eV per atom. Its crystal system is orthorhombic.

[9]
HoFe3Si3 | GGA-PBE | optimized geometry

POSCAR file:
```
HoFe3Si3
1.0
6.243 0.000 0.000
0.000 6.243 0.000
0.000 0.000 6.243
Ho Fe Si
2 6 6
Direct
0.000 0.000 0.000
0.500 0.500 0.500
0.000 0.250 0.500
0.000 0.750 0.500
0.250 0.500 0.000
0.500 0.000 0.250
0.500 0.000 0.750
0.750 0.500 0.000
0.000 0.500 0.250
0.000 0.500 0.750
0.250 0.000 0.500
0.500 0.250 0.000
0.500 0.750 0.000
0.750 0.000 0.500
```

Computed properties:
For the uncorrected formation energy, the calculation gives 0.08 eV per atom. Its crystal system is cubic.

[10]
HoFeSi2Tc | GGA-PBE | optimized geometry

POSCAR file:
```
HoFeSi2Tc
1.0
-1.995 1.995 5.084
1.995 -1.995 5.084
1.995 1.995 -5.084
Ho Fe Si Tc
1 1 2 1
Direct
0.000 0.000 0.000
0.750 0.250 0.500
0.379 0.379 0.000
0.621 0.621 0.000
0.250 0.750 0.500
```

Computed properties:
For the uncorrected formation energy, the calculation gives -0.64 eV per atom. Its crystal system is tetragonal.

[11]
SmHo2Fe9 | GGA-PBE | optimized geometry

POSCAR file:
```
SmHo2Fe9
1.0
2.552 1.474 8.067
-2.552 1.474 8.067
0.000 -2.947 8.067
Sm Ho Fe
1 2 9
Direct
0.000 0.000 0.000
0.142 0.142 0.142
0.858 0.858 0.858
0.083 0.582 0.582
0.333 0.333 0.333
0.418 0.418 0.917
0.418 0.917 0.418
0.500 0.500 0.500
0.582 0.083 0.582
0.582 0.582 0.083
0.667 0.667 0.667
0.917 0.418 0.418
```

Computed properties:
As for the energy of formation from the pure elements: -0.058 eV per atom. Its crystal system is trigonal.

[12]
Sm2Ho5Fe2 | GGA-PBE | optimized geometry

POSCAR file:
```
Sm2Ho5Fe2
1.0
9.975 -3.503 0.000
9.975 3.503 0.000
0.000 0.000 6.982
Sm Ho Fe
4 10 4
Direct
0.232 0.232 0.000
0.268 0.268 0.500
0.732 0.732 0.500
0.768 0.768 0.000
0.000 0.000 0.000
0.075 0.712 0.679
0.212 0.575 0.179
0.288 0.925 0.679
0.425 0.788 0.179
0.500 0.500 0.500
0.575 0.212 0.821
0.712 0.075 0.321
0.788 0.425 0.821
0.925 0.288 0.321
0.110 0.890 0.394
0.390 0.610 0.894
0.610 0.390 0.106
0.890 0.110 0.606
```

Computed properties:
As for the energy of formation from the pure elements: 0.038 eV per atom. Its crystal system is orthorhombic.